Ba2LiLa: single point on PBEsol structure, meta-GGA SCAN.

```
Ba2LiLa
1.0
3.9300 0.0000 0.0000
0.0000 6.2753 0.0000
0.0000 0.0000 6.6451
Ba Li La
2 1 1
Direct
0.0000 0.0000 0.0000
0.0000 0.5000 0.3730
0.5000 0.0000 0.5281
0.5000 0.5000 0.8560
```

magnetization = 0.01 μB per formula unit
formation energy = 0.176 eV/atom